DFT (PBE) results for a relaxed structure of Ac2Tb3Y.

Results
DFT formation energy	5.1	kJ per mole of atoms
Fermi-level density of states	18.45	states/eV per cell

Unit cell a=5.268 b=11.685 c=8.288 alpha=114.95 beta=108.53 gamma=90.00
Fractional positions:
Ac  0.535  0.865  0.070
Ac  0.465  0.135  0.930
Ac  0.208  0.866  0.416
Ac  0.792  0.134  0.584
Tb  0.048  0.387  0.095
Tb  0.952  0.613  0.905
Tb  0.711  0.384  0.423
Tb  0.289  0.616  0.577
Tb  0.623  0.615  0.247
Tb  0.377  0.385  0.753
Y  0.128  0.135  0.256
Y  0.872  0.865  0.744